Arrangement i

# AcNdSe2

A relaxed AcNdSe2 crystal (PBE, Alexandria via LeMat-Bulk).

a b c (Å): 4.2915 4.2915 14.6489
angles (deg): 90.00 90.00 120.00
Closest atoms and distances in Å follow each position.
Positions (direct):
Se 0.6667 0.3333 0.8837  3 Nd 3.01, 3 Ac 3.16
Se 0.6667 0.3333 0.6163  3 Nd 3.01, 3 Ac 3.16
Se 0.3333 0.6667 0.1163  3 Nd 3.01, 3 Ac 3.16
Se 0.3333 0.6667 0.3837  3 Nd 3.01, 3 Ac 3.16
Ac 0.6667 0.3333 0.2500  6 Se 3.16
Ac 0.3333 0.6667 0.7500  6 Se 3.16
Nd 0.0000 0.0000 0.0000  6 Se 3.01
Nd 0.0000 0.0000 0.5000  6 Se 3.01

---

Arrangement ii

# AcNdSe2

A relaxed AcNdSe2 crystal (PBE, Alexandria via LeMat-Bulk).

a b c (Å): 3.7641 5.3102 5.3102
angles (deg): 90.00 90.00 90.00
Closest atoms and distances in Å follow each position.
Positions (direct):
Ac 0.5000 0.5000 0.5000  8 Se 3.25
Nd 0.5000 0.0000 0.0000  8 Se 3.25
Se 0.0000 0.0000 0.5000  4 Ac 3.25, 4 Nd 3.25
Se 0.0000 0.5000 0.0000  4 Ac 3.25, 4 Nd 3.25

---

Energies, relative to the best one, in meV/atom: arrangement i 0; arrangement ii 218.